Material: PdSe2BrF
Method: DFT, PBE-GGA
State: optimized geometry

Values from the calculation:
**Formation energy (no corrections)**: 1.39 eV per formula unit
**Total magnetic moment**: 2.79 Bohr magnetons per cell
**Crystal system**: tetragonal
**Energy above the most stable polymorph in this dataset**: 0.0000 eV per atom
**Total energy**: -14.3 eV for the cell shown

Cell lengths 4.9603, 4.9603, 5.1217 Å; angles 90.00, 90.00, 90.00 degrees
Fractional positions:
Pd: 0.0000 0.0000 0.0000
Se: 0.0000 0.5000 0.0000
Se: 0.5000 0.0000 0.0000
Br: 0.0000 0.0000 0.5000
F: 0.5000 0.5000 0.5000